--- 1 ---
Below is a relaxed structure of Sn2BiSe2, with properties calculated at the PBE-GGA level.

The space group is I4/mmm (No. 139) and the conventional cell measures 5.7292, 5.7292 and 9.2163 Å, with angles of 90.00, 90.00 and 90.00 degrees. The asymmetric unit holds Sn at (0.0000, 0.5000, 0.2500), Bi at (0.0000, 0.0000, 0.0000) and Se at (0.0000, 0.0000, 0.3229).

The density is 6.6 Mg/m³. As for the crystal system: tetragonal.

---

--- 2 ---
Below is a relaxed structure of Sn2BiSe2, with properties calculated at the PBE-GGA level.

The space group is I4/mmm (No. 139) and the conventional cell measures 5.6554, 5.6554 and 9.1146 Å, with angles of 90.00, 90.00 and 90.00 degrees. The asymmetric unit holds Sn at (0.0000, 0.0000, 0.1647), Bi at (0.0000, 0.0000, 0.5000) and Se at (0.0000, 0.5000, 0.2500).

The density is 6.9 Mg/m³. As for the crystal system: tetragonal.

---

Which is the most stable structure? 1 is the most stable.

---

--- 1 ---
Below is a relaxed structure of Sn2BiSe2, with properties calculated at the PBE-GGA level.

The space group is P4/mbm (No. 127) and the conventional cell measures 8.5257, 8.5257 and 3.8197 Å, with angles of 90.00, 90.00 and 90.00 degrees. The asymmetric unit holds Sn at (0.1657, 0.3343, 0.0000), Bi at (0.0000, 0.0000, 0.0000) and Se at (0.1632, 0.6632, 0.5000).

The density is 7.2 Mg/m³. As for the crystal system: tetragonal.

---

--- 2 ---
Below is a relaxed structure of Sn2BiSe2, with properties calculated at the PBE-GGA level.

The space group is P4/mbm (No. 127) and the conventional cell measures 8.3826, 8.3826 and 3.9770 Å, with angles of 90.00, 90.00 and 90.00 degrees. The asymmetric unit holds Sn at (0.1677, 0.3323, 0.0000), Bi at (0.0000, 0.0000, 0.5000) and Se at (0.1564, 0.6564, 0.5000).

The density is 7.2 Mg/m³. As for the crystal system: tetragonal.

---

Which is the most stable structure? 2 is the most stable.

---

--- 1 ---
Below is a relaxed structure of Sn3BiSe, with properties calculated at the PBE-GGA level.

The space group is Pm-3m (No. 221) and the conventional cell measures 5.5444, 5.5444 and 5.5444 Å, with angles of 90.00, 90.00 and 90.00 degrees. The asymmetric unit holds Sn at (0.0000, 0.0000, 0.5000), Bi at (0.5000, 0.5000, 0.5000) and Se at (0.0000, 0.0000, 0.0000).

The density is 6.3 Mg/m³. As for the crystal system: cubic.

---

--- 2 ---
Below is a relaxed structure of Sn3BiSe, with properties calculated at the PBE-GGA level.

The space group is Pm-3m (No. 221) and the conventional cell measures 5.8943, 5.8943 and 5.8943 Å, with angles of 90.00, 90.00 and 90.00 degrees. The asymmetric unit holds Sn at (0.0000, 0.0000, 0.5000), Bi at (0.0000, 0.0000, 0.0000) and Se at (0.5000, 0.5000, 0.5000).

The density is 5.2 Mg/m³. As for the crystal system: cubic.

---

Which is the most stable structure? 1 is the most stable.

---

--- 1 ---
Below is a relaxed structure of SnBiSe3, with properties calculated at the PBE-GGA level.

The space group is P2_1/m (No. 11) and the conventional cell measures 7.0199, 4.0913 and 10.6764 Å, with angles of 90.00, 99.66 and 90.00 degrees. The asymmetric unit holds Sn at (0.2273, 0.2500, 0.4838), Bi at (0.3627, 0.2500, 0.8507), Se at (0.0340, 0.7500, 0.3331), Se at (0.2496, 0.7500, 0.0108) and Se at (0.4499, 0.7500, 0.6487).

The density is 6.2 Mg/m³. As for the crystal system: monoclinic.

---

--- 2 ---
Below is a relaxed structure of SnBiSe3, with properties calculated at the PBE-GGA level.

The space group is Amm2 (No. 38) and the conventional cell measures 4.1419, 8.6348 and 13.0077 Å, with angles of 90.00, 90.00 and 90.00 degrees. The asymmetric unit holds Sn at (0.0000, 0.0000, 0.0000), Bi at (0.5000, 0.0000, 0.3618), Se at (0.0000, 0.1878, 0.4496) and Se at (0.5000, 0.0000, 0.1315).

The density is 4.0 Mg/m³. As for the crystal system: orthorhombic.

---

--- 3 ---
Below is a relaxed structure of SnBiSe3, with properties calculated at the PBE-GGA level.

The space group is Pm-3m (No. 221) and the conventional cell measures 5.2545, 5.2545 and 5.2545 Å, with angles of 90.00, 90.00 and 90.00 degrees. The asymmetric unit holds Sn at (0.0000, 0.0000, 0.0000), Bi at (0.5000, 0.5000, 0.5000) and Se at (0.0000, 0.0000, 0.5000).

The density is 6.5 Mg/m³. As for the crystal system: cubic.

---

Which is the most stable structure? 1 is the most stable.